1.
DFT (PBE) results for a relaxed Tb6PrNd3Sm2 crystal.

Computed properties:
**VASP energy**: -4.680 eV/atom
**Total magnetic moment**: 0.0 μB per formula unit
**Energy of formation**: 0.14 eV per formula unit
**Volume**: 799.7 Å³/cell

Lattice parameters (Å, degrees): 6.273 10.863 11.920 90.00 100.08 90.00
Space group C2/m (No. 12)
Inequivalent atoms, fractional coordinates:
Tb  0.249  0.000  0.250 [4 per cell]
Tb  0.250  0.167  0.751 [8 per cell]
Pr  0.000  0.500  0.000 [2 per cell]
Nd  0.000  0.000  0.500 [2 per cell]
Nd  0.000  0.333  0.500 [4 per cell]
Sm  0.000  0.167  0.000 [4 per cell]

2.
DFT (PBE) results for a relaxed Tb3PrNd2Sm6 crystal.

Computed properties:
**VASP energy**: -4.695 eV/atom
**Total magnetic moment**: 0.0 μB per formula unit
**Energy of formation**: 0.18 eV per formula unit
**Volume**: 810.8 Å³/cell

Lattice parameters (Å, degrees): 6.286 10.888 12.030 90.00 100.05 90.00
Space group C2/m (No. 12)
Inequivalent atoms, fractional coordinates:
Tb  0.000  0.000  0.000 [2 per cell]
Tb  0.000  0.333  0.000 [4 per cell]
Pr  0.000  0.500  0.500 [2 per cell]
Nd  0.000  0.167  0.500 [4 per cell]
Sm  0.249  0.167  0.246 [8 per cell]
Sm  0.249  0.500  0.246 [4 per cell]

3.
DFT (PBE) results for a relaxed Tb2Pr5NdSm crystal.

Computed properties:
**VASP energy**: -4.598 eV/atom
**Total magnetic moment**: 0.0 μB per formula unit
**Energy of formation**: 1.26 eV per formula unit
**Volume**: 1280.9 Å³/cell

Lattice parameters (Å, degrees): 5.768 20.677 10.740 90.00 90.00 90.00
Space group Cmc2_1 (No. 36)
Inequivalent atoms, fractional coordinates:
Tb  0.000  0.113  0.000 [4 per cell]
Tb  0.000  0.117  0.587 [4 per cell]
Pr  0.000  0.016  0.288 [4 per cell]
Pr  0.000  0.280  0.578 [4 per cell]
Pr  0.000  0.296  0.971 [4 per cell]
Pr  0.000  0.389  0.292 [4 per cell]
Pr  0.000  0.478  0.008 [4 per cell]
Nd  0.000  0.412  0.718 [4 per cell]
Sm  0.000  0.200  0.276 [4 per cell]

4.
DFT (PBE) results for a relaxed TbPr4Nd2Sm crystal.

Computed properties:
**VASP energy**: -4.387 eV/atom
**Total magnetic moment**: 0.0 μB per formula unit
**Energy of formation**: 2.91 eV per formula unit
**Volume**: 1138.2 Å³/cell

Lattice parameters (Å, degrees): 13.937 13.478 6.983 90.00 119.81 90.00
Space group C2/c (No. 15)
Inequivalent atoms, fractional coordinates:
Tb  0.000  0.000  0.000 [4 per cell]
Pr  0.001  0.247  0.001 [8 per cell]
Pr  0.248  0.001  0.446 [8 per cell]
Nd  0.000  0.500  0.000 [4 per cell]
Nd  0.250  0.250  0.000 [4 per cell]
Sm  0.250  0.250  0.500 [4 per cell]

5.
DFT (PBE) results for a relaxed TbPr2NdSm2 crystal.

Computed properties:
**VASP energy**: -4.488 eV/atom
**Total magnetic moment**: 0.0 μB per formula unit
**Energy of formation**: 1.46 eV per formula unit
**Volume**: 423.6 Å³/cell

Lattice parameters (Å, degrees): 6.771 18.136 3.450 90.00 90.00 90.00
Space group Pnnm (No. 58)
Inequivalent atoms, fractional coordinates:
Tb  0.000  0.000  0.000 [2 per cell]
Pr  0.234  0.183  0.000 [4 per cell]
Nd  0.000  0.500  0.000 [2 per cell]
Sm  0.230  0.352  0.500 [4 per cell]

6.
DFT (PBE) results for a relaxed Tb6Pr2NdSm3 crystal.

Computed properties:
**VASP energy**: -4.676 eV/atom
**Total magnetic moment**: 0.0 μB per formula unit
**Energy of formation**: 0.15 eV per formula unit
**Volume**: 798.9 Å³/cell

Lattice parameters (Å, degrees): 6.270 10.859 11.918 90.00 100.08 90.00
Space group C2/m (No. 12)
Inequivalent atoms, fractional coordinates:
Tb  0.249  0.000  0.248 [4 per cell]
Tb  0.249  0.333  0.248 [8 per cell]
Pr  0.000  0.333  0.500 [4 per cell]
Nd  0.000  0.000  0.500 [2 per cell]
Sm  0.000  0.167  0.000 [4 per cell]
Sm  0.000  0.500  0.000 [2 per cell]